Entry 1:
{"formula": "Ag3Ir", "functional": "PBE-GGA", "state": "relaxed", "lattice_angstrom": [[4.701, 0.000, 0.000], [0.000, 5.774, 0.000], [0.000, 0.000, 4.941]], "species": ["Ag", "Ag", "Ag", "Ag", "Ag", "Ag", "Ir", "Ir"], "fractional_positions": [[0.500, 0.500, 0.158], [0.000, 0.251, 0.331], [0.000, 0.749, 0.331], [0.500, 0.249, 0.669], [0.500, 0.751, 0.669], [0.000, 0.000, 0.842], [0.500, 0.000, 0.174], [0.000, 0.500, 0.826]], "m_tot_mub_per_fu": 0.02, "dft_energy_ev_per_atom": -3.896}

---

Entry 2:
{"formula": "Cs2Rb2IrO4", "functional": "PBE-GGA", "state": "relaxed", "lattice_angstrom": [[5.101, -3.323, 0.000], [5.101, 3.323, 0.000], [-2.035, 0.000, 6.047]], "species": ["Cs", "Cs", "Ir", "O", "O", "O", "O", "Rb", "Rb"], "fractional_positions": [[0.385, 0.385, 0.170], [0.615, 0.615, 0.830], [0.000, 0.000, 0.000], [0.904, 0.316, 0.192], [0.316, 0.904, 0.192], [0.684, 0.096, 0.808], [0.096, 0.684, 0.808], [0.809, 0.809, 0.408], [0.191, 0.191, 0.592]], "m_tot_mub_per_fu": 3.00, "dft_energy_ev_per_atom": -4.747}

---

Entry 3:
{"formula": "GdDyZn2Ge2", "functional": "PBE-GGA", "state": "relaxed", "lattice_angstrom": [[4.247, 0.000, 0.000], [-2.123, 3.678, 0.000], [0.000, 0.000, 15.729]], "species": ["Dy", "Dy", "Gd", "Gd", "Ge", "Ge", "Ge", "Ge", "Zn", "Zn", "Zn", "Zn"], "fractional_positions": [[0.000, 0.000, 0.250], [0.000, 0.000, 0.750], [0.000, 0.000, 0.000], [0.000, 0.000, 0.500], [0.667, 0.333, 0.115], [0.667, 0.333, 0.385], [0.333, 0.667, 0.615], [0.333, 0.667, 0.885], [0.333, 0.667, 0.148], [0.333, 0.667, 0.352], [0.667, 0.333, 0.648], [0.667, 0.333, 0.852]], "m_tot_mub_per_fu": 0.00, "dft_energy_ev_per_atom": -4.186}

---

Entry 4:
{"formula": "Zr4Nb2Pb3C3", "functional": "PBE-GGA", "state": "relaxed", "lattice_angstrom": [[-1.644, 5.324, -1.607], [-1.403, 1.057, -5.527], [-13.130, -5.625, 5.316]], "species": ["C", "C", "C", "C", "C", "C", "Nb", "Nb", "Nb", "Nb", "Pb", "Pb", "Pb", "Pb", "Pb", "Pb", "Zr", "Zr", "Zr", "Zr", "Zr", "Zr", "Zr", "Zr"], "fractional_positions": [[0.500, 0.000, 0.000], [0.825, 0.338, 0.000], [0.175, 0.662, 0.000], [0.338, 0.825, 0.500], [0.000, 0.500, 0.500], [0.662, 0.175, 0.500], [0.526, 0.353, 0.077], [0.647, 0.474, 0.423], [0.353, 0.526, 0.577], [0.474, 0.647, 0.923], [0.584, 0.739, 0.249], [0.906, 0.094, 0.250], [0.261, 0.416, 0.251], [0.739, 0.584, 0.749], [0.094, 0.906, 0.750], [0.416, 0.261, 0.751], [0.866, 0.695, 0.085], [0.191, 0.032, 0.085], [0.968, 0.809, 0.415], [0.305, 0.134, 0.415], [0.695, 0.866, 0.585], [0.032, 0.191, 0.585], [0.809, 0.968, 0.915], [0.134, 0.305, 0.915]], "m_tot_mub_per_fu": 0.00, "dft_energy_ev_per_atom": -8.284}

---

Entry 5:
{"formula": "Nb2InO4", "functional": "PBE-GGA", "state": "relaxed", "lattice_angstrom": [[-1.159, 6.162, 2.029], [-0.135, -1.435, -6.430], [-4.777, -2.201, 3.970]], "species": ["In", "In", "Nb", "Nb", "Nb", "Nb", "O", "O", "O", "O", "O", "O", "O", "O"], "fractional_positions": [[0.000, 0.000, 0.000], [0.750, 0.500, 0.250], [0.375, 0.750, 0.125], [0.375, 0.250, 0.625], [0.375, 0.750, 0.625], [0.875, 0.250, 0.625], [0.195, 0.796, 0.398], [0.602, 0.204, 0.398], [0.602, 0.796, 0.398], [0.148, 0.296, 0.445], [0.602, 0.204, 0.805], [0.148, 0.704, 0.852], [0.148, 0.296, 0.852], [0.555, 0.704, 0.852]], "m_tot_mub_per_fu": 1.00, "dft_energy_ev_per_atom": -7.762}

---

Entry 6:
{"formula": "PaZnPt", "functional": "PBE-GGA", "state": "relaxed", "lattice_angstrom": [[0.000, 3.243, 3.243], [3.243, 0.000, 3.243], [3.243, 3.243, 0.000]], "species": ["Pa", "Pt", "Zn"], "fractional_positions": [[0.250, 0.250, 0.250], [0.000, 0.000, 0.000], [0.750, 0.750, 0.750]], "m_tot_mub_per_fu": 0.00, "dft_energy_ev_per_atom": -6.122}

---

Entry 7:
{"formula": "GdTmBC2", "functional": "PBE-GGA", "state": "relaxed", "lattice_angstrom": [[1.272, -5.710, 1.523], [-3.513, -4.223, 2.525], [0.391, 4.185, -4.345]], "species": ["B", "C", "C", "Gd", "Tm"], "fractional_positions": [[0.999, 0.999, 0.000], [0.135, 0.135, 0.000], [0.863, 0.863, 0.000], [0.354, 0.354, 0.000], [0.650, 0.650, 0.000]], "m_tot_mub_per_fu": 0.03, "dft_energy_ev_per_atom": -7.294}

---

Entry 8:
{"formula": "LaLuHg", "functional": "PBE-GGA", "state": "relaxed", "lattice_angstrom": [[-0.796, -2.280, 4.409], [-3.098, 2.068, 3.376], [-4.452, -2.128, 0.962]], "species": ["Hg", "La", "Lu"], "fractional_positions": [[0.250, 0.250, 0.250], [0.750, 0.750, 0.750], [0.000, 0.000, 0.000]], "m_tot_mub_per_fu": 0.00, "dft_energy_ev_per_atom": -3.075}

---

Entry 9:
{"formula": "Nb2SiS2", "functional": "PBE-GGA", "state": "relaxed", "lattice_angstrom": [[3.223, 0.000, 0.000], [-1.611, 2.791, 0.000], [0.000, 0.000, 20.440]], "species": ["Nb", "Nb", "Nb", "Nb", "S", "S", "S", "S", "Si", "Si"], "fractional_positions": [[0.667, 0.333, 0.156], [0.667, 0.333, 0.344], [0.333, 0.667, 0.656], [0.333, 0.667, 0.844], [0.333, 0.667, 0.078], [0.333, 0.667, 0.422], [0.667, 0.333, 0.578], [0.667, 0.333, 0.922], [0.000, 0.000, 0.250], [0.000, 0.000, 0.750]], "m_tot_mub_per_fu": 0.00, "dft_energy_ev_per_atom": -7.553}

---

Entry 10:
{"formula": "Rb2Au", "functional": "PBE-GGA", "state": "relaxed", "lattice_angstrom": [[5.266, 3.040, 8.599], [-5.266, 3.040, 8.599], [0.000, -6.080, 8.599]], "species": ["Au", "Au", "Rb", "Rb", "Rb", "Rb"], "fractional_positions": [[0.250, 0.250, 0.250], [0.500, 0.500, 0.500], [0.375, 0.375, 0.375], [0.875, 0.375, 0.375], [0.375, 0.875, 0.375], [0.375, 0.375, 0.875]], "dft_energy_ev_per_atom": -1.625}

---

Entry 11:
{"formula": "Dy3Mg3Ga2Au", "functional": "PBE-GGA", "state": "relaxed", "lattice_angstrom": [[-2.284, -5.226, -4.631], [-0.166, -1.187, 7.248], [-4.033, 1.611, 0.171]], "species": ["Au", "Dy", "Dy", "Dy", "Ga", "Ga", "Mg", "Mg", "Mg"], "fractional_positions": [[0.000, 0.000, 0.000], [0.582, 0.000, 0.000], [0.418, 0.418, 0.000], [0.000, 0.582, 0.000], [0.667, 0.333, 0.500], [0.333, 0.667, 0.500], [0.244, 0.000, 0.500], [0.000, 0.244, 0.500], [0.756, 0.756, 0.500]], "m_tot_mub_per_fu": 0.00, "dft_energy_ev_per_atom": -3.673}

---

Entry 12:
{"formula": "DySiNi4", "functional": "PBE-GGA", "state": "relaxed", "lattice_angstrom": [[2.536, -4.073, 0.000], [2.536, 4.073, 0.000], [0.000, 0.000, 3.954]], "species": ["Dy", "Ni", "Ni", "Ni", "Ni", "Si"], "fractional_positions": [[0.000, 0.000, 0.000], [0.658, 0.342, 0.000], [0.342, 0.658, 0.000], [0.500, 0.000, 0.500], [0.000, 0.500, 0.500], [0.500, 0.500, 0.500]], "m_tot_mub_per_fu": 0.00, "dft_energy_ev_per_atom": -6.002}